Entry 1:
This record from Alexandria describes LaGe2Ir2 after structural relaxation. The functional is GGA-PBEsol.

Crystal system: tetragonal
Spin magnetization in Bohr magnetons per cell: 0.0
Raw total energy in eV per formula unit: -38.9
Space group: P4/nmm, No. 129

Cell lengths 4.257, 4.257, 10.128 Å; angles 90.00, 90.00, 90.00 degrees
Atoms (fractional coordinates):
La  0.250  0.250  0.245
La  0.750  0.750  0.755
Ge  0.250  0.250  0.630
Ge  0.250  0.750  0.000
Ge  0.750  0.250  0.000
Ge  0.750  0.750  0.370
Ir  0.250  0.250  0.872
Ir  0.250  0.750  0.500
Ir  0.750  0.250  0.500
Ir  0.750  0.750  0.128

---

Entry 2:
This record from Alexandria describes La2NbGeIr after structural relaxation. The functional is GGA-PBEsol.

Crystal system: tetragonal
Spin magnetization in Bohr magnetons per cell: 0.0
Raw total energy in eV per formula unit: -33.8
Space group: P4/mmm, No. 123

Cell lengths 5.431, 5.431, 4.706 Å; angles 90.00, 90.00, 90.00 degrees
Atoms (fractional coordinates):
La  0.000  0.500  0.000
La  0.500  0.000  0.000
Nb  0.000  0.000  0.000
Ge  0.500  0.500  0.500
Ir  0.000  0.000  0.500

---

Entry 3:
This record from Alexandria describes LaReGe2Ir after structural relaxation. The functional is GGA-PBEsol.

Crystal system: tetragonal
Spin magnetization in Bohr magnetons per cell: 0.0
Raw total energy in eV per formula unit: -37.9
Space group: P4/mmm, No. 123

Cell lengths 4.701, 4.701, 4.930 Å; angles 90.00, 90.00, 90.00 degrees
Atoms (fractional coordinates):
La  0.000  0.000  0.000
Re  0.500  0.500  0.500
Ge  0.000  0.500  0.500
Ge  0.500  0.000  0.500
Ir  0.500  0.500  0.000

---

Entry 4:
This record from Alexandria describes LaTmGe4Ir2 after structural relaxation. The functional is GGA-PBEsol.

Crystal system: orthorhombic
Spin magnetization in Bohr magnetons per cell: 0.0
Raw total energy in eV per formula unit: -56.6
Space group: Immm, No. 71

Cell lengths 9.389, 9.389, 9.389 Å; angles 153.43, 124.02, 63.01 degrees
Atoms (fractional coordinates):
La  0.239  0.000  0.239
La  0.761  0.000  0.761
Tm  0.207  0.207  0.000
Tm  0.793  0.793  0.000
Ge  0.080  0.580  0.500
Ge  0.148  0.799  0.348
Ge  0.421  0.421  0.000
Ge  0.451  0.799  0.652
Ge  0.549  0.201  0.348
Ge  0.579  0.579  0.000
Ge  0.852  0.201  0.652
Ge  0.920  0.420  0.500
Ir  0.103  0.351  0.752
Ir  0.401  0.649  0.752
Ir  0.599  0.351  0.248
Ir  0.897  0.649  0.248

---

Entry 5:
This record from Alexandria describes LiGeIr2 after structural relaxation. The functional is GGA-PBEsol.

Crystal system: tetragonal
Spin magnetization in Bohr magnetons per cell: 0.0
Raw total energy in eV per formula unit: -25.7
Space group: I-42d, No. 122

Cell lengths 5.669, 5.669, 5.669 Å; angles 100.86, 100.86, 128.55 degrees
Atoms (fractional coordinates):
Li  0.000  0.000  0.000
Li  0.750  0.250  0.500
Ge  0.250  0.750  0.500
Ge  0.500  0.500  0.000
Ir  0.184  0.125  0.559
Ir  0.375  0.816  0.941
Ir  0.566  0.625  0.441
Ir  0.875  0.434  0.059

---

Entry 6:
This record from Alexandria describes Lu3Ge3Ir2 after structural relaxation. The functional is GGA-PBEsol.

Crystal system: orthorhombic
Spin magnetization in Bohr magnetons per cell: 0.0
Raw total energy in eV per formula unit: -56.8
Space group: Cmcm, No. 63

Cell lengths 5.488, 5.488, 13.874 Å; angles 90.00, 90.00, 134.52 degrees
Atoms (fractional coordinates):
Lu  0.083  0.917  0.610
Lu  0.083  0.917  0.890
Lu  0.355  0.645  0.750
Lu  0.645  0.355  0.250
Lu  0.917  0.083  0.110
Lu  0.917  0.083  0.390
Ge  0.350  0.650  0.250
Ge  0.378  0.622  0.535
Ge  0.378  0.622  0.965
Ge  0.622  0.378  0.035
Ge  0.622  0.378  0.465
Ge  0.650  0.350  0.750
Ir  0.201  0.799  0.103
Ir  0.201  0.799  0.397
Ir  0.799  0.201  0.603
Ir  0.799  0.201  0.897

---

Entry 7:
This record from Alexandria describes Lu3Ge13Ir4 after structural relaxation. The functional is GGA-PBEsol.

Crystal system: cubic
Spin magnetization in Bohr magnetons per cell: 0.0
Raw total energy in eV per formula unit: -128.9
Space group: Pm-3n, No. 223

Cell lengths 8.869, 8.869, 8.869 Å; angles 90.00, 90.00, 90.00 degrees
Atoms (fractional coordinates):
Lu  0.000  0.250  0.500
Lu  0.000  0.750  0.500
Lu  0.250  0.500  0.000
Lu  0.500  0.000  0.250
Lu  0.500  0.000  0.750
Lu  0.750  0.500  0.000
Ge  0.000  0.000  0.000
Ge  0.000  0.310  0.144
Ge  0.000  0.310  0.856
Ge  0.000  0.690  0.144
Ge  0.000  0.690  0.856
Ge  0.144  0.000  0.310
Ge  0.144  0.000  0.690
Ge  0.190  0.500  0.356
Ge  0.190  0.500  0.644
Ge  0.310  0.144  0.000
Ge  0.310  0.856  0.000
Ge  0.356  0.190  0.500
Ge  0.356  0.810  0.500
Ge  0.500  0.356  0.190
Ge  0.500  0.356  0.810
Ge  0.500  0.500  0.500
Ge  0.500  0.644  0.190
Ge  0.500  0.644  0.810
Ge  0.644  0.190  0.500
Ge  0.644  0.810  0.500
Ge  0.690  0.144  0.000
Ge  0.690  0.856  0.000
Ge  0.810  0.500  0.356
Ge  0.810  0.500  0.644
Ge  0.856  0.000  0.310
Ge  0.856  0.000  0.690
Ir  0.250  0.250  0.250
Ir  0.250  0.250  0.750
Ir  0.250  0.750  0.250
Ir  0.250  0.750  0.750
Ir  0.750  0.250  0.250
Ir  0.750  0.250  0.750
Ir  0.750  0.750  0.250
Ir  0.750  0.750  0.750

---

Entry 8:
This record from Alexandria describes Mg2Ge2Ir after structural relaxation. The functional is GGA-PBEsol.

Crystal system: tetragonal
Spin magnetization in Bohr magnetons per cell: 0.0
Raw total energy in eV per formula unit: -25.0
Space group: P4/mbm, No. 127

Cell lengths 6.379, 6.379, 4.169 Å; angles 90.00, 90.00, 90.00 degrees
Atoms (fractional coordinates):
Mg  0.177  0.323  0.000
Mg  0.323  0.823  0.000
Mg  0.677  0.177  0.000
Mg  0.823  0.677  0.000
Ge  0.136  0.636  0.500
Ge  0.364  0.136  0.500
Ge  0.636  0.864  0.500
Ge  0.864  0.364  0.500
Ir  0.000  0.000  0.500
Ir  0.500  0.500  0.500

---

Entry 9:
This record from Alexandria describes MnGeIr after structural relaxation. The functional is GGA-PBEsol.

Crystal system: orthorhombic
Spin magnetization in Bohr magnetons per cell: 12.9
Raw total energy in eV per formula unit: -25.1
Space group: Pnma, No. 62

Cell lengths 5.232, 4.045, 7.710 Å; angles 90.00, 90.00, 90.00 degrees
Atoms (fractional coordinates):
Mn  0.047  0.250  0.231
Mn  0.453  0.750  0.731
Mn  0.547  0.250  0.269
Mn  0.953  0.750  0.769
Ge  0.198  0.250  0.891
Ge  0.302  0.750  0.391
Ge  0.698  0.250  0.609
Ge  0.802  0.750  0.109
Ir  0.197  0.250  0.564
Ir  0.303  0.750  0.064
Ir  0.697  0.250  0.936
Ir  0.803  0.750  0.436

---

Entry 10:
This record from Alexandria describes Mn4Ge6Ir7 after structural relaxation. The functional is GGA-PBEsol.

Crystal system: cubic
Spin magnetization in Bohr magnetons per cell: 16.5
Raw total energy in eV per formula unit: -140.3
Space group: Im-3m, No. 229

Cell lengths 6.897, 6.897, 6.897 Å; angles 109.47, 109.47, 109.47 degrees
Atoms (fractional coordinates):
Mn  0.000  0.000  0.500
Mn  0.000  0.500  0.000
Mn  0.500  0.000  0.000
Mn  0.500  0.500  0.500
Ge  0.000  0.306  0.306
Ge  0.000  0.694  0.694
Ge  0.306  0.000  0.306
Ge  0.306  0.306  0.000
Ge  0.694  0.000  0.694
Ge  0.694  0.694  0.000
Ir  0.000  0.000  0.000
Ir  0.250  0.500  0.750
Ir  0.250  0.750  0.500
Ir  0.500  0.250  0.750
Ir  0.500  0.750  0.250
Ir  0.750  0.250  0.500
Ir  0.750  0.500  0.250

---

Entry 11:
This record from Alexandria describes MnGe3Ir after structural relaxation. The functional is GGA-PBEsol.

Crystal system: cubic
Spin magnetization in Bohr magnetons per cell: 4.4
Raw total energy in eV per formula unit: -30.8
Space group: Pm-3m, No. 221

Cell lengths 4.752, 4.752, 4.752 Å; angles 90.00, 90.00, 90.00 degrees
Atoms (fractional coordinates):
Mn  0.000  0.000  0.000
Ge  0.000  0.500  0.500
Ge  0.500  0.000  0.500
Ge  0.500  0.500  0.000
Ir  0.500  0.500  0.500

---

Entry 12:
This record from Alexandria describes GeMoIrSe2 after structural relaxation. The functional is GGA-PBEsol.

Crystal system: tetragonal
Spin magnetization in Bohr magnetons per cell: 3.2
Raw total energy in eV per formula unit: -27.4
Formation energy (no corrections) in eV per atom: 1.370
Space group: P4/mmm, No. 123

Cell lengths 4.824, 4.824, 4.555 Å; angles 90.00, 90.00, 90.00 degrees
Atoms (fractional coordinates):
Ge  0.000  0.000  0.000
Mo  0.500  0.500  0.500
Ir  0.000  0.000  0.500
Se  0.000  0.500  0.000
Se  0.500  0.000  0.000

---

Entry 13:
This record from Alexandria describes GeTe2IrN after structural relaxation. The functional is GGA-PBEsol.

Crystal system: tetragonal
Spin magnetization in Bohr magnetons per cell: 0.0
Raw total energy in eV per formula unit: -28.7
Formation energy (no corrections) in eV per atom: 0.332
Space group: P4/mmm, No. 123

Cell lengths 5.437, 5.437, 3.647 Å; angles 90.00, 90.00, 90.00 degrees
Atoms (fractional coordinates):
Ge  0.000  0.000  0.000
Te  0.000  0.500  0.500
Te  0.500  0.000  0.500
Ir  0.500  0.500  0.500
N  0.500  0.500  0.000

---

Entry 14:
This record from Alexandria describes NaGe2Ir2 after structural relaxation. The functional is GGA-PBEsol.

Crystal system: tetragonal
Spin magnetization in Bohr magnetons per cell: 0.0
Raw total energy in eV per formula unit: -32.5
Space group: I4/mmm, No. 139

Cell lengths 5.939, 5.939, 5.939 Å; angles 139.50, 139.50, 58.61 degrees
Atoms (fractional coordinates):
Na  0.000  0.000  0.000
Ge  0.376  0.376  0.000
Ge  0.624  0.624  0.000
Ir  0.250  0.750  0.500
Ir  0.750  0.250  0.500

---

Entry 15:
This record from Alexandria describes Na2Ge2Ir after structural relaxation. The functional is GGA-PBEsol.

Crystal system: tetragonal
Spin magnetization in Bohr magnetons per cell: 0.0
Raw total energy in eV per formula unit: -23.2
Space group: P4/mbm, No. 127

Cell lengths 6.327, 6.327, 4.934 Å; angles 90.00, 90.00, 90.00 degrees
Atoms (fractional coordinates):
Na  0.182  0.318  0.000
Na  0.318  0.818  0.000
Na  0.682  0.182  0.000
Na  0.818  0.682  0.000
Ge  0.142  0.642  0.500
Ge  0.358  0.142  0.500
Ge  0.642  0.858  0.500
Ge  0.858  0.358  0.500
Ir  0.000  0.000  0.500
Ir  0.500  0.500  0.500

---

Entry 16:
This record from Alexandria describes NbGeIr after structural relaxation. The functional is GGA-PBEsol.

Crystal system: orthorhombic
Spin magnetization in Bohr magnetons per cell: 0.0
Raw total energy in eV per formula unit: -27.3
Space group: Pnma, No. 62

Cell lengths 6.447, 3.884, 7.397 Å; angles 90.00, 90.00, 90.00 degrees
Atoms (fractional coordinates):
Nb  0.026  0.250  0.179
Nb  0.474  0.750  0.679
Nb  0.526  0.250  0.321
Nb  0.974  0.750  0.821
Ge  0.241  0.750  0.377
Ge  0.259  0.250  0.877
Ge  0.741  0.750  0.123
Ge  0.759  0.250  0.623
Ir  0.143  0.250  0.561
Ir  0.357  0.750  0.061
Ir  0.643  0.250  0.939
Ir  0.857  0.750  0.439

---

Entry 17:
This record from Alexandria describes NbGeIr2S after structural relaxation. The functional is GGA-PBEsol.

Crystal system: tetragonal
Spin magnetization in Bohr magnetons per cell: 1.1
Raw total energy in eV per formula unit: -33.9
Formation energy (no corrections) in eV per atom: 1.169
Space group: P4/mmm, No. 123

Cell lengths 4.477, 4.477, 4.625 Å; angles 90.00, 90.00, 90.00 degrees
Atoms (fractional coordinates):
Nb  0.000  0.000  0.000
Ge  0.500  0.500  0.500
Ir  0.000  0.500  0.500
Ir  0.500  0.000  0.500
S  0.500  0.500  0.000

---

Entry 18:
This record from Alexandria describes Sr2NbGeIr after structural relaxation. The functional is GGA-PBEsol.

Crystal system: tetragonal
Spin magnetization in Bohr magnetons per cell: 1.2
Raw total energy in eV per formula unit: -26.9
Space group: P4/mmm, No. 123

Cell lengths 5.713, 5.713, 4.764 Å; angles 90.00, 90.00, 90.00 degrees
Atoms (fractional coordinates):
Sr  0.000  0.500  0.000
Sr  0.500  0.000  0.000
Nb  0.000  0.000  0.500
Ge  0.500  0.500  0.500
Ir  0.000  0.000  0.000

---

Entry 19:
This record from Alexandria describes NdGe2Ir after structural relaxation. The functional is GGA-PBEsol.

Crystal system: orthorhombic
Spin magnetization in Bohr magnetons per cell: 0.0
Raw total energy in eV per formula unit: -28.2
Space group: Immm, No. 71

Cell lengths 9.428, 9.428, 9.428 Å; angles 153.34, 123.68, 63.36 degrees
Atoms (fractional coordinates):
Nd  0.207  0.207  0.000
Nd  0.240  0.000  0.240
Nd  0.760  0.000  0.760
Nd  0.793  0.793  0.000
Ge  0.077  0.577  0.500
Ge  0.146  0.801  0.345
Ge  0.421  0.421  0.000
Ge  0.456  0.801  0.655
Ge  0.544  0.199  0.345
Ge  0.579  0.579  0.000
Ge  0.854  0.199  0.655
Ge  0.923  0.423  0.500
Ir  0.105  0.354  0.752
Ir  0.398  0.646  0.752
Ir  0.602  0.354  0.248
Ir  0.895  0.646  0.248

---

Entry 20:
This record from Alexandria describes NdGeIr after structural relaxation. The functional is GGA-PBEsol.

Crystal system: orthorhombic
Spin magnetization in Bohr magnetons per cell: 0.0
Raw total energy in eV per formula unit: -22.5
Space group: Pnma, No. 62

Cell lengths 7.095, 4.424, 7.463 Å; angles 90.00, 90.00, 90.00 degrees
Atoms (fractional coordinates):
Nd  0.016  0.250  0.195
Nd  0.484  0.750  0.695
Nd  0.516  0.250  0.305
Nd  0.984  0.750  0.805
Ge  0.177  0.250  0.585
Ge  0.323  0.750  0.085
Ge  0.677  0.250  0.915
Ge  0.823  0.750  0.415
Ir  0.197  0.750  0.409
Ir  0.303  0.250  0.909
Ir  0.697  0.750  0.091
Ir  0.803  0.250  0.591